KZnCu2 | GGA-PBE | relaxed

Properties
Calculated total energy: -2.4017 eV per atom
Density: 4.6 g/cm3
Energy relative to the elements: 0.239 eV/atom

a = 2.873 Å, b = 3.987 Å, c = 7.403 Å
α = 90.00°, β = 100.28°, γ = 90.00°
Fractional coordinates of all 4 atoms:
K: 0.000 0.000 0.000
Zn: 0.658 0.500 0.341
Cu: 0.293 0.500 0.634
Cu: 0.762 0.000 0.570

=====

ZrTaTiPb2 | GGA-PBE | relaxed

Properties
Calculated total energy: -6.1456 eV per atom
Density: 8.9 g/cm3
Energy relative to the elements: 0.997 eV/atom

a = 5.423 Å, b = 5.423 Å, c = 4.683 Å
α = 90.00°, β = 90.00°, γ = 90.00°
Fractional coordinates of all 5 atoms:
Zr: 0.000 0.000 0.000
Ta: 0.500 0.500 0.500
Ti: 0.500 0.500 0.000
Pb: 0.000 0.500 0.500
Pb: 0.500 0.000 0.500

=====

VFe5Ir6 | GGA-PBE | relaxed

Properties
Calculated total energy: -8.8541 eV per atom
Density: 15.5 g/cm3
Energy relative to the elements: -0.138 eV/atom

a = 4.530 Å, b = 5.398 Å, c = 6.500 Å
α = 90.00°, β = 92.39°, γ = 90.00°
Fractional coordinates of all 12 atoms:
V: 0.000 0.000 0.000
Fe: 0.000 0.500 0.000
Fe: 0.334 0.000 0.667
Fe: 0.334 0.500 0.670
Fe: 0.666 0.000 0.333
Fe: 0.666 0.500 0.330
Ir: 0.167 0.250 0.334
Ir: 0.167 0.750 0.334
Ir: 0.500 0.250 0.000
Ir: 0.500 0.750 0.000
Ir: 0.833 0.250 0.666
Ir: 0.833 0.750 0.666

=====

LiLaGe3 | GGA-PBE | relaxed

Properties
Calculated total energy: -4.3593 eV per atom
Offset from the most stable computed form: 267 meV per atom
Density: 5.8 g/cm3
Energy relative to the elements: -0.221 eV/atom

a = 4.701 Å, b = 4.701 Å, c = 4.701 Å
α = 90.00°, β = 90.00°, γ = 90.00°
Fractional coordinates of all 5 atoms:
Li: 0.000 0.000 0.000
La: 0.500 0.500 0.500
Ge: 0.000 0.000 0.500
Ge: 0.000 0.500 0.000
Ge: 0.500 0.000 0.000

=====

Ac8Ni3SeI4 | GGA-PBE | relaxed

Properties
Calculated total energy: -4.6039 eV per atom
Density: 7.4 g/cm3
Formation energy without anion corrections: -860 meV per atom

a = 9.904 Å, b = 9.904 Å, c = 9.904 Å
α = 53.12°, β = 53.12°, γ = 53.12°
Fractional coordinates of all 16 atoms:
Ac: 0.213 0.739 0.739
Ac: 0.227 0.227 0.227
Ac: 0.261 0.261 0.787
Ac: 0.261 0.787 0.261
Ac: 0.739 0.213 0.739
Ac: 0.739 0.739 0.213
Ac: 0.773 0.773 0.773
Ac: 0.787 0.261 0.261
Ni: 0.000 0.000 0.500
Ni: 0.000 0.500 0.000
Ni: 0.500 0.000 0.000
Se: 0.500 0.500 0.500
I: 0.000 0.000 0.000
I: 0.000 0.500 0.500
I: 0.500 0.000 0.500
I: 0.500 0.500 0.000

=====

Be2TlAg | GGA-PBE | relaxed

Properties
Calculated total energy: -2.5553 eV per atom
Offset from the most stable computed form: 221 meV per atom
Density: 8.5 g/cm3
Energy relative to the elements: 0.612 eV/atom

a = 8.305 Å, b = 8.305 Å, c = 8.305 Å
α = 21.06°, β = 21.06°, γ = 21.06°
Fractional coordinates of all 4 atoms:
Be: 0.242 0.242 0.242
Be: 0.758 0.758 0.758
Tl: 0.000 0.000 0.000
Ag: 0.500 0.500 0.500

=====

TbCeVN4 | GGA-PBE | relaxed

Properties
Calculated total energy: -8.8243 eV per atom
Density: 7.6 g/cm3
Formation energy without anion corrections: -1255 meV per atom

a = 6.718 Å, b = 6.718 Å, c = 5.336 Å
α = 90.00°, β = 90.00°, γ = 132.95°
Fractional coordinates of all 14 atoms:
Tb: 0.111 0.889 0.750
Tb: 0.889 0.111 0.250
Ce: 0.395 0.605 0.750
Ce: 0.605 0.395 0.250
V: 0.230 0.770 0.250
V: 0.770 0.230 0.750
N: 0.000 0.500 0.000
N: 0.000 0.500 0.500
N: 0.081 0.919 0.250
N: 0.431 0.569 0.250
N: 0.500 0.000 0.000
N: 0.500 0.000 0.500
N: 0.569 0.431 0.750
N: 0.919 0.081 0.750

=====

TlRe2Pb | GGA-PBE | relaxed

Properties
Calculated total energy: -6.6361 eV per atom
Offset from the most stable computed form: 661 meV per atom
Density: 13.9 g/cm3
Energy relative to the elements: 1.107 eV/atom

a = 3.737 Å, b = 4.806 Å, c = 5.223 Å
α = 90.00°, β = 95.51°, γ = 90.00°
Fractional coordinates of all 4 atoms:
Tl: 0.000 0.000 0.000
Re: 0.311 0.500 0.159
Re: 0.689 0.500 0.841
Pb: 0.500 0.000 0.500

=====

Number 1: M_tot 0.0 μB per cell, V 83.44 Å³/cell. Number 2: M_tot 0.0 μB per cell, V 137.73 Å³/cell. Number 3: M_tot 10.9 μB per cell, V 158.82 Å³/cell. Number 4: M_tot 0.0 μB per cell, V 103.89 Å³/cell. Number 5: M_tot 0.0 μB per cell, V 576.20 Å³/cell. Number 6: M_tot 0.0 μB per cell, V 64.77 Å³/cell. Number 7: M_tot 0.0 μB per cell, V 176.28 Å³/cell. Number 8: M_tot 0.0 μB per cell, V 93.36 Å³/cell.